[1]
Crystalline CaPm6Sm2Y3 at its relaxed geometry, computed with PBE.

ΔE_f ... 0.68 kcal/mol of atoms
D(E_F) ... 14.3 states/eV per cell

```
12
Lattice="3.159 -5.471 0.000 3.159 5.471 0.000 -2.091 0.000 11.814" Properties=species:S:1:pos:R:3 pbc="T T T"
Ca 0.000 0.000 0.000
Pm 1.081 1.855 3.000
Pm 0.041 0.000 8.806
Pm 1.081 -1.855 3.000
Pm 3.146 1.855 8.814
Pm 4.185 0.000 3.008
Pm 3.146 -1.855 8.814
Sm 3.159 1.826 0.000
Sm 3.159 -1.826 0.000
Y 2.113 3.654 5.907
Y 2.113 0.000 5.907
Y 2.113 -3.654 5.907
```

***

[2]
Crystalline CaPm2Sm6Y3 at its relaxed geometry, computed with PBE.

ΔE_f ... 0.75 kcal/mol of atoms
D(E_F) ... 15.0 states/eV per cell

```
12
Lattice="3.150 -5.457 0.000 3.150 5.457 0.000 -2.090 0.000 11.815" Properties=species:S:1:pos:R:3 pbc="T T T"
Ca 0.000 0.000 0.000
Pm 3.150 1.822 0.000
Pm 3.150 -1.822 0.000
Sm 1.073 1.848 3.007
Sm 0.036 0.000 8.802
Sm 1.073 -1.848 3.007
Sm 3.138 1.848 8.808
Sm 4.175 0.000 3.014
Sm 3.138 -1.848 8.808
Y 2.106 3.647 5.908
Y 2.106 0.000 5.908
Y 2.106 -3.647 5.908
```

***

[3]
Crystalline CaPm6Sm2Y at its relaxed geometry, computed with PBE.

ΔE_f ... 2.94 kcal/mol of atoms
D(E_F) ... 29.2 states/eV per cell

```
20
Lattice="4.589 -7.789 0.000 4.589 7.789 0.000 -1.546 0.000 9.801" Properties=species:S:1:pos:R:3 pbc="T T T"
Ca 3.430 6.264 7.351
Ca 4.203 -6.264 2.450
Pm 0.045 1.663 6.113
Pm 2.501 3.548 1.740
Pm 0.818 -1.663 1.212
Pm 3.202 2.778 5.406
Pm 3.658 2.778 9.295
Pm 5.905 3.548 3.160
Pm 1.728 -3.548 6.641
Pm 3.975 -2.778 0.506
Pm 4.431 -2.778 4.395
Pm 6.815 1.663 8.589
Pm 5.132 -3.548 8.061
Pm 7.588 -1.663 3.688
Sm 0.798 0.796 9.391
Sm 1.571 -0.796 4.490
Sm 6.062 0.796 5.311
Sm 6.835 -0.796 0.410
Y 4.203 0.357 2.450
Y 3.430 -0.357 7.351
```

***

[4]
Crystalline Ca2Pm2SmY6 at its relaxed geometry, computed with PBE.

ΔE_f ... 3.91 kcal/mol of atoms
D(E_F) ... 17.3 states/eV per cell

```
11
Lattice="3.099 -5.409 0.000 3.099 5.409 0.000 -2.312 0.000 12.000" Properties=species:S:1:pos:R:3 pbc="T T T"
Ca 3.099 3.627 0.000
Ca 3.099 -3.627 0.000
Pm 1.943 1.806 6.000
Pm 1.943 -1.806 6.000
Sm -1.156 0.000 6.000
Y -0.136 1.800 8.903
Y 0.913 0.000 3.138
Y -0.136 -1.800 8.903
Y 4.022 1.800 3.098
Y 2.973 0.000 8.863
Y 4.022 -1.800 3.098
```

***

[5]
Crystalline Ca2PmSm2Y6 at its relaxed geometry, computed with PBE.

ΔE_f ... 3.90 kcal/mol of atoms
D(E_F) ... 17.2 states/eV per cell

```
11
Lattice="3.099 -5.402 0.000 3.099 5.402 0.000 -2.293 0.000 12.003" Properties=species:S:1:pos:R:3 pbc="T T T"
Ca 3.099 3.619 0.000
Ca 3.099 -3.619 0.000
Pm -1.146 0.000 6.002
Sm 1.952 1.803 6.002
Sm 1.952 -1.803 6.002
Y -0.124 1.800 8.899
Y 0.924 0.000 3.140
Y -0.124 -1.800 8.899
Y 4.029 1.800 3.104
Y 2.981 0.000 8.863
Y 4.029 -1.800 3.104
```

***

[6]
Crystalline Ca3PmSn3 at its relaxed geometry, computed with PBE.

ΔE_f ... -9.91 kcal/mol of atoms
D(E_F) ... 8.1 states/eV per cell

```
14
Lattice="4.897 -6.346 0.000 4.897 6.346 0.000 -0.421 0.000 7.757" Properties=species:S:1:pos:R:3 pbc="T T T"
Ca 4.897 4.548 0.000
Ca 4.687 3.263 3.879
Ca 3.161 0.000 6.591
Ca 6.213 0.000 1.167
Ca 4.687 -3.263 3.879
Ca 4.897 -4.548 0.000
Pm 2.486 0.000 2.830
Pm 6.888 0.000 4.927
Sn 0.362 0.000 5.179
Sn 2.841 2.510 1.236
Sn 2.841 -2.510 1.236
Sn 6.533 2.510 6.522
Sn 6.533 -2.510 6.522
Sn 9.012 0.000 2.578
```

***

[7]
Crystalline CaPm5Sn6 at its relaxed geometry, computed with PBE.

ΔE_f ... -15.15 kcal/mol of atoms
D(E_F) ... 10.0 states/eV per cell

```
12
Lattice="-2.482 4.503 7.546 2.482 -4.503 7.546 2.482 4.503 -7.546" Properties=species:S:1:pos:R:3 pbc="T T T"
Ca 0.000 0.000 0.000
Pm 2.482 0.000 2.458
Pm 0.000 0.000 5.047
Pm 0.000 4.503 0.000
Pm 0.000 0.000 10.045
Pm 0.000 4.503 5.088
Sn 2.482 -2.247 5.010
Sn 2.482 2.256 0.000
Sn 0.000 2.255 2.536
Sn 2.482 2.247 5.010
Sn 0.000 2.247 7.546
Sn 0.000 6.750 2.536
```

***

[8]
Crystalline Ca2Pm3Sn3 at its relaxed geometry, computed with PBE.

ΔE_f ... -11.68 kcal/mol of atoms
D(E_F) ... 5.8 states/eV per cell

```
8
Lattice="-2.183 2.518 10.884 2.183 -2.518 10.884 2.183 2.518 -10.884" Properties=species:S:1:pos:R:3 pbc="T T T"
Ca 0.000 0.000 5.341
Ca 0.000 0.000 16.427
Pm 0.000 0.000 0.000
Pm 2.183 0.000 8.362
Pm 0.000 2.518 2.522
Sn 2.183 0.000 2.958
Sn 0.000 0.000 10.884
Sn 0.000 2.518 7.926
```

***

[9]
Crystalline CaPm5Sn8 at its relaxed geometry, computed with PBE.

ΔE_f ... -12.22 kcal/mol of atoms
D(E_F) ... 9.4 states/eV per cell

```
14
Lattice="-4.766 4.766 4.569 4.766 -4.766 4.569 4.766 4.766 -4.569" Properties=species:S:1:pos:R:3 pbc="T T T"
Ca 0.000 0.000 0.000
Pm 2.123 -1.133 3.407
Pm 3.633 2.643 1.162
Pm 2.643 5.899 -1.162
Pm 0.000 4.766 2.285
Pm 1.133 2.123 5.731
Sn 3.848 3.024 -2.031
Sn 6.243 0.666 0.475
Sn 0.666 3.289 -0.475
Sn 0.918 1.743 2.538
Sn 4.100 1.477 4.094
Sn 1.743 -0.918 6.600
Sn 3.024 5.684 2.031
Sn -1.477 4.100 5.044
```

***

[10]
Crystalline CaPmSn2 at its relaxed geometry, computed with PBE.

ΔE_f ... -15.00 kcal/mol of atoms
D(E_F) ... 2.3 states/eV per cell

```
4
Lattice="3.513 0.000 0.000 0.000 3.513 0.000 0.000 0.000 9.109" Properties=species:S:1:pos:R:3 pbc="T T T"
Ca 0.000 0.000 0.000
Pm 0.000 0.000 4.555
Sn 1.756 1.756 2.278
Sn 1.756 1.756 6.831
```

***

[11]
Crystalline Ca2Pm5Sn5 at its relaxed geometry, computed with PBE.

ΔE_f ... -12.49 kcal/mol of atoms
D(E_F) ... 5.9 states/eV per cell

```
12
Lattice="7.521 -2.204 0.000 7.521 2.204 0.000 -3.623 0.000 12.469" Properties=species:S:1:pos:R:3 pbc="T T T"
Ca -0.264 0.000 3.494
Ca 11.684 0.000 8.975
Pm 3.430 0.000 1.834
Pm 3.505 0.000 5.715
Pm 7.521 0.000 0.000
Pm 7.915 0.000 6.754
Pm 7.990 0.000 10.636
Sn -1.811 0.000 6.235
Sn -1.620 0.000 11.562
Sn 1.846 0.000 8.665
Sn 9.574 0.000 3.804
Sn 13.040 0.000 0.908
```

***

[12]
Crystalline Ca2Pm5Sn4 at its relaxed geometry, computed with PBE.

ΔE_f ... -8.86 kcal/mol of atoms
D(E_F) ... 8.9 states/eV per cell

```
11
Lattice="11.216 -2.352 0.000 11.216 2.352 0.000 -2.536 0.000 7.134" Properties=species:S:1:pos:R:3 pbc="T T T"
Ca 1.448 0.000 0.525
Ca 18.449 0.000 6.610
Pm -1.268 0.000 3.567
Pm 7.298 0.000 0.679
Pm 6.091 0.000 4.107
Pm 13.806 0.000 3.027
Pm 12.598 0.000 6.455
Sn 4.275 0.000 1.540
Sn 10.652 0.000 1.562
Sn 9.244 0.000 5.573
Sn 15.621 0.000 5.594
```